1.
Cd3SnTe4 | PBE | optimized geometry

Summary:
Total magnetic moment (Bohr magnetons per cell): 0.00
VASP energy (eV per atom): -2.744
ΔE_f (raw) (eV/atom): -0.330

abc: 6.782 6.782 13.507
angles: 90.00 90.00 90.00
Fractional coordinates of all 16 atoms:
Cd: 0.000 0.000 0.000
Cd: 0.000 0.500 0.250
Cd: 0.000 0.500 0.750
Cd: 0.500 0.000 0.250
Cd: 0.500 0.000 0.750
Cd: 0.500 0.500 0.500
Sn: 0.000 0.000 0.500
Sn: 0.500 0.500 0.000
Te: 0.235 0.235 0.868
Te: 0.235 0.765 0.132
Te: 0.265 0.265 0.368
Te: 0.265 0.735 0.632
Te: 0.735 0.265 0.632
Te: 0.735 0.735 0.368
Te: 0.765 0.235 0.132
Te: 0.765 0.765 0.868

***

2.
CdSn4Te5 | PBE | optimized geometry

Summary:
Total magnetic moment (Bohr magnetons per cell): 0.00
VASP energy (eV per atom): -3.549
ΔE_f (raw) (eV/atom): -0.285
Density of states at the Fermi level (states/eV/atom): 0.10

abc: 7.764 7.764 7.764
angles: 99.68 99.68 131.58
Fractional coordinates of all 10 atoms:
Cd: 0.000 0.000 0.000
Sn: 0.179 0.578 0.801
Sn: 0.379 0.179 0.602
Sn: 0.578 0.777 0.398
Sn: 0.777 0.379 0.199
Te: 0.067 0.264 0.390
Te: 0.264 0.874 0.196
Te: 0.479 0.479 0.000
Te: 0.677 0.067 0.804
Te: 0.874 0.677 0.610

***

3.
Cd2SnTe | PBE | optimized geometry

Summary:
Total magnetic moment (Bohr magnetons per cell): 0.00
Energy above the lowest structure with this stoichiometry (meV/atom): 0
VASP energy (eV per atom): -2.222
ΔE_f (raw) (eV/atom): 0.022
Density of states at the Fermi level (states/eV/atom): 0.10

abc: 7.007 7.007 11.642
angles: 90.00 90.00 90.00
Fractional coordinates of all 16 atoms:
Cd: 0.249 0.250 0.125
Cd: 0.250 0.749 0.375
Cd: 0.250 0.751 0.875
Cd: 0.251 0.250 0.625
Cd: 0.749 0.750 0.625
Cd: 0.750 0.249 0.875
Cd: 0.750 0.251 0.375
Cd: 0.751 0.750 0.125
Sn: 0.000 0.000 0.500
Sn: 0.000 0.500 0.750
Sn: 0.500 0.000 0.250
Sn: 0.500 0.500 0.000
Te: 0.000 0.000 0.000
Te: 0.000 0.500 0.250
Te: 0.500 0.000 0.750
Te: 0.500 0.500 0.500

***

4.
CdSnTe2 | PBE | optimized geometry

Summary:
Total magnetic moment (Bohr magnetons per cell): 0.00
VASP energy (eV per atom): -2.678
ΔE_f (raw) (eV/atom): 0.122
Density of states at the Fermi level (states/eV/atom): 1.09

abc: 3.253 3.253 37.061
angles: 90.00 90.00 120.00
Fractional coordinates of all 12 atoms:
Cd: 0.000 0.000 0.000
Cd: 0.333 0.667 0.667
Cd: 0.667 0.333 0.333
Sn: 0.000 0.000 0.500
Sn: 0.333 0.667 0.167
Sn: 0.667 0.333 0.833
Te: 0.000 0.000 0.084
Te: 0.000 0.000 0.916
Te: 0.333 0.667 0.583
Te: 0.333 0.667 0.750
Te: 0.667 0.333 0.250
Te: 0.667 0.333 0.417

***

5.
Cd3SnTe | PBE | optimized geometry

Summary:
Total magnetic moment (Bohr magnetons per cell): 0.00
Energy above the lowest structure with this stoichiometry (meV/atom): 0
VASP energy (eV per atom): -1.731
ΔE_f (raw) (eV/atom): 0.247
Density of states at the Fermi level (states/eV/atom): 0.50

abc: 5.485 5.485 5.485
angles: 90.00 90.00 90.00
Fractional coordinates of all 5 atoms:
Cd: 0.000 0.000 0.500
Cd: 0.000 0.500 0.000
Cd: 0.500 0.000 0.000
Sn: 0.000 0.000 0.000
Te: 0.500 0.500 0.500

***

6.
CdSnTe2 | PBE | optimized geometry

Summary:
Total magnetic moment (Bohr magnetons per cell): 0.00
VASP energy (eV per atom): -3.018
ΔE_f (raw) (eV/atom): -0.218
Density of states at the Fermi level (states/eV/atom): 0.00

abc: 6.993 6.993 13.552
angles: 90.00 90.00 90.00
Fractional coordinates of all 16 atoms:
Cd: 0.000 0.000 0.000
Cd: 0.000 0.500 0.250
Cd: 0.500 0.000 0.750
Cd: 0.500 0.500 0.500
Sn: 0.000 0.000 0.500
Sn: 0.000 0.500 0.750
Sn: 0.500 0.000 0.250
Sn: 0.500 0.500 0.000
Te: 0.221 0.250 0.125
Te: 0.250 0.721 0.375
Te: 0.250 0.779 0.875
Te: 0.279 0.250 0.625
Te: 0.721 0.750 0.625
Te: 0.750 0.221 0.875
Te: 0.750 0.279 0.375
Te: 0.779 0.750 0.125

***

7.
CdSnTe2 | PBE | optimized geometry

Summary:
Total magnetic moment (Bohr magnetons per cell): 0.00
VASP energy (eV per atom): -2.724
ΔE_f (raw) (eV/atom): 0.076
Density of states at the Fermi level (states/eV/atom): 0.66

abc: 3.780 3.780 30.995
angles: 90.00 90.00 120.00
Fractional coordinates of all 12 atoms:
Cd: 0.000 0.000 0.000
Cd: 0.333 0.667 0.667
Cd: 0.667 0.333 0.333
Sn: 0.000 0.000 0.500
Sn: 0.333 0.667 0.167
Sn: 0.667 0.333 0.833
Te: 0.000 0.000 0.398
Te: 0.000 0.000 0.602
Te: 0.333 0.667 0.065
Te: 0.333 0.667 0.268
Te: 0.667 0.333 0.732
Te: 0.667 0.333 0.935

***

8.
CdSn2Te4 | PBE | optimized geometry

Summary:
Total magnetic moment (Bohr magnetons per cell): 0.00
VASP energy (eV per atom): -3.290
ΔE_f (raw) (eV/atom): -0.220
Density of states at the Fermi level (states/eV/atom): 0.17

abc: 4.492 7.267 7.799
angles: 70.66 73.32 89.96
Fractional coordinates of all 7 atoms:
Cd: 0.000 0.000 0.000
Sn: 0.277 0.300 0.440
Sn: 0.723 0.700 0.560
Te: 0.091 0.460 0.823
Te: 0.364 0.993 0.272
Te: 0.636 0.007 0.728
Te: 0.909 0.540 0.177

***

9.
Cd2Sn2Te | PBE | optimized geometry

Summary:
Total magnetic moment (Bohr magnetons per cell): 0.00
Energy above the lowest structure with this stoichiometry (meV/atom): 0
VASP energy (eV per atom): -2.550
ΔE_f (raw) (eV/atom): 0.046
Density of states at the Fermi level (states/eV/atom): 0.41

abc: 9.256 9.256 3.229
angles: 90.00 90.00 90.00
Fractional coordinates of all 10 atoms:
Cd: 0.117 0.383 0.000
Cd: 0.383 0.883 0.000
Cd: 0.617 0.117 0.000
Cd: 0.883 0.617 0.000
Sn: 0.184 0.684 0.500
Sn: 0.316 0.184 0.500
Sn: 0.684 0.816 0.500
Sn: 0.816 0.316 0.500
Te: 0.000 0.000 0.500
Te: 0.500 0.500 0.500

***

10.
Cd2Sn2Te | PBE | optimized geometry

Summary:
Total magnetic moment (Bohr magnetons per cell): 0.00
Energy above the lowest structure with this stoichiometry (meV/atom): 12
VASP energy (eV per atom): -2.537
ΔE_f (raw) (eV/atom): 0.058
Density of states at the Fermi level (states/eV/atom): 0.46

abc: 9.203 9.203 3.190
angles: 90.00 90.00 90.00
Fractional coordinates of all 10 atoms:
Cd: 0.165 0.335 0.000
Cd: 0.335 0.835 0.000
Cd: 0.665 0.165 0.000
Cd: 0.835 0.665 0.000
Sn: 0.134 0.634 0.500
Sn: 0.366 0.134 0.500
Sn: 0.634 0.866 0.500
Sn: 0.866 0.366 0.500
Te: 0.000 0.000 0.000
Te: 0.500 0.500 0.000

***

11.
Cd2Sn2Te | PBE | optimized geometry

Summary:
Total magnetic moment (Bohr magnetons per cell): 0.00
Energy above the lowest structure with this stoichiometry (meV/atom): 35
VASP energy (eV per atom): -2.515
ΔE_f (raw) (eV/atom): 0.081
Density of states at the Fermi level (states/eV/atom): 0.58

abc: 4.230 4.230 15.814
angles: 90.00 90.00 90.00
Fractional coordinates of all 10 atoms:
Cd: 0.000 0.000 0.091
Cd: 0.000 0.000 0.909
Cd: 0.500 0.500 0.409
Cd: 0.500 0.500 0.591
Sn: 0.000 0.500 0.250
Sn: 0.000 0.500 0.750
Sn: 0.500 0.000 0.250
Sn: 0.500 0.000 0.750
Te: 0.000 0.000 0.500
Te: 0.500 0.500 0.000

***

12.
CdSn2Te3 | PBE | optimized geometry

Summary:
Total magnetic moment (Bohr magnetons per cell): 0.00
VASP energy (eV per atom): -3.342
ΔE_f (raw) (eV/atom): -0.285
Density of states at the Fermi level (states/eV/atom): 0.21

abc: 4.458 4.458 18.879
angles: 90.00 90.00 90.00
Fractional coordinates of all 12 atoms:
Cd: 0.000 0.000 0.000
Cd: 0.500 0.500 0.500
Sn: 0.000 0.000 0.334
Sn: 0.000 0.000 0.666
Sn: 0.500 0.500 0.166
Sn: 0.500 0.500 0.834
Te: 0.000 0.000 0.165
Te: 0.000 0.000 0.500
Te: 0.000 0.000 0.835
Te: 0.500 0.500 0.000
Te: 0.500 0.500 0.335
Te: 0.500 0.500 0.665

***

> The highest ΔE_f (raw) belongs to which entry?

Cd3SnTe

***

> total magnetic moment of number 4 (CdSnTe2)?

0.00 Bohr magnetons per cell

***

> Which value of ΔE_f (raw) does entry 6 give?

-0.218 eV/atom